No. 1
Pr6C2OF3: optimized geometry, PBE.

## Properties
- Raw total energy: -6.640 eV per atom

a b c (Å): 6.3860 11.1429 6.6551
angles (deg): 90.00 107.95 90.00
With the nearest neighbours (Å) after each atom.
Space group C2/m (No. 12)
Symmetry-distinct sites (fractional):
Pr 0.2359 0.0000 0.2205 x4  2 C 2.55, 1 O 2.55, 1 F 2.73
Pr 0.2369 0.3341 0.2194 x8  2 C 2.54-2.56, 1 O 2.54, 3 F 2.58-2.79
C 0.0000 0.1664 0.0000 x4  6 Pr 2.54-2.56
O 0.0000 0.5000 0.0000 x2  6 Pr 2.54-2.55
F 0.0000 0.0000 0.5000 x2  6 Pr 2.73-2.79
F 0.0000 0.3011 0.5000 x4  4 Pr 2.58-2.77

No. 2
PtCOF2: optimized geometry, PBE.

## Properties
- E above lowest polymorph: 5 meV/atom
- Raw total energy: -3.887 eV per atom

a b c (Å): 4.3415 4.3415 3.7575
angles (deg): 90.00 90.00 90.00
With the nearest neighbours (Å) after each atom.
Space group P4/mmm (No. 123)
Symmetry-distinct sites (fractional):
Pt 0.0000 0.0000 0.0000 x1  2 O 1.88
C 0.5000 0.5000 0.5000 x1  8 F 2.87, 4 O 3.07
O 0.0000 0.0000 0.5000 x1  2 Pt 1.88
F 0.0000 0.5000 0.0000 x2  2 Pt 2.17

No. 3
PtCOF2: optimized geometry, PBE.

## Properties
- E above lowest polymorph: 0 meV/atom
- Raw total energy: -3.892 eV per atom

a b c (Å): 3.3227 3.3227 5.1620
angles (deg): 90.00 90.00 90.00
With the nearest neighbours (Å) after each atom.
Space group P4/mmm (No. 123)
Symmetry-distinct sites (fractional):
Pt 0.0000 0.0000 0.0000 x1  4 O 2.35
C 0.5000 0.5000 0.5000 x1  4 F 1.66
O 0.5000 0.5000 0.0000 x1  4 Pt 2.35, 2 C 2.58
F 0.0000 0.5000 0.5000 x2  2 C 1.66